Entry 1:
## TaTc3Se (PBE)

Data for crystalline TaTc3Se at its relaxed geometry.

a = 4.771 Å, b = 4.771 Å, c = 4.771 Å
α = 90.00°, β = 90.00°, γ = 90.00°
Element x y z (fractional)
Ta: 0.000 0.000 0.000
Tc: 0.000 0.000 0.500
Tc: 0.000 0.500 0.000
Tc: 0.500 0.000 0.000
Se: 0.500 0.500 0.500

Results
Energy relative to the elements, uncorrected ... 1855 meV/atom
Energy above the lowest structure with this stoichiometry ... 4.53 eV per formula unit
Space group ... Pm-3m, No. 221
DFT total energy ... -37.160 eV/f.u.

Entry 2:
## Y2MoBr (PBE)

Data for crystalline Y2MoBr at its relaxed geometry.

a = 3.413 Å, b = 3.413 Å, c = 9.269 Å
α = 90.00°, β = 90.00°, γ = 90.00°
Element x y z (fractional)
Y: 0.000 0.000 0.000
Y: 0.500 0.500 0.311
Mo: 0.500 0.500 0.800
Br: 0.000 0.000 0.509

Results
Energy relative to the elements, uncorrected ... 246 meV/atom
Energy above the lowest structure with this stoichiometry ... 2.33 eV per formula unit
Space group ... P4mm, No. 99
DFT total energy ... -24.447 eV/f.u.

Entry 3:
## YGa2Pd3 (PBE)

Data for crystalline YGa2Pd3 at its relaxed geometry.

a = 8.665 Å, b = 8.665 Å, c = 9.974 Å
α = 107.12°, β = 107.12°, γ = 26.91°
Element x y z (fractional)
Y: 0.000 0.000 0.000
Y: 0.163 0.163 0.705
Y: 0.837 0.837 0.295
Ga: 0.194 0.194 0.127
Ga: 0.362 0.362 0.544
Ga: 0.459 0.459 0.219
Ga: 0.541 0.541 0.781
Ga: 0.638 0.638 0.456
Ga: 0.806 0.806 0.873
Pd: 0.040 0.040 0.333
Pd: 0.216 0.216 0.392
Pd: 0.320 0.320 0.040
Pd: 0.386 0.386 0.808
Pd: 0.500 0.500 0.500
Pd: 0.614 0.614 0.192
Pd: 0.680 0.680 0.960
Pd: 0.784 0.784 0.608
Pd: 0.960 0.960 0.667

Results
Formation enthalpy at 0 K ... -787 meV/atom
Space group ... C2/m, No. 12
DFT total energy ... -32.819 eV/f.u.